Run P
BeBP2S: optimized geometry, PBE.

Unit cell a=4.256 b=4.256 c=4.148 alpha=90.00 beta=90.00 gamma=90.00
Space group P4/mmm (No. 123)
Unique sites:
Be: 0.000 0.000 0.000
B: 0.500 0.500 0.500
P: 0.000 0.500 0.000
S: 0.000 0.000 0.500

Calculated values
As for the density of states at the Fermi level: 2.6 states/eV/f.u.


Run Q
BeBP2S: optimized geometry, PBE.

Unit cell a=4.022 b=4.022 c=4.250 alpha=90.00 beta=90.00 gamma=90.00
Space group P4/mmm (No. 123)
Unique sites:
Be: 0.000 0.000 0.000
B: 0.500 0.500 0.500
P: 0.000 0.500 0.500
S: 0.500 0.500 0.000

Calculated values
As for the density of states at the Fermi level: 2.8 states/eV/f.u.


Least stable structure: run P


Run P
Be2BPb: optimized geometry, PBE.

Unit cell a=4.255 b=4.255 c=12.717 alpha=90.00 beta=90.00 gamma=90.00
Space group I4_1/amd (No. 141, origin choice 2)
Unique sites:
Be: 0.000 0.000 0.000
B: 0.000 0.250 0.875
Pb: 0.000 0.250 0.375

Calculated values
As for the density of states at the Fermi level: 1.3 states/eV/f.u.


Run Q
Be2BPb: optimized geometry, PBE.

Unit cell a=6.098 b=6.098 c=6.098 alpha=90.00 beta=90.00 gamma=90.00
Space group Fm-3m (No. 225)
Unique sites:
Be: 0.250 0.250 0.250
B: 0.000 0.000 0.000
Pb: 0.000 0.000 0.500

Calculated values
As for the density of states at the Fermi level: 2.7 states/eV/f.u.


Least stable structure: run Q


Run P
PmBeB: optimized geometry, PBE.

Unit cell a=3.6057 b=3.6057 c=4.0356 alpha=90.00 beta=90.00 gamma=120.00
Space group P-6m2 (No. 187)
Unique sites:
Pm: 0.0000 0.0000 0.0000
Be: 0.3333 0.6667 0.5000
B: 0.6667 0.3333 0.5000

Calculated values
As for the density of states at the Fermi level: 2.4 states/eV/f.u.


Run Q
PmBeB: optimized geometry, PBE.

Unit cell a=3.583 b=10.396 c=4.532 alpha=90.00 beta=90.00 gamma=90.00
Space group Cmcm (No. 63)
Unique sites:
Pm: 0.000 0.202 0.250
Be: 0.000 0.500 0.000
B: 0.000 0.057 0.750

Calculated values
As for the density of states at the Fermi level: 1.0 states/eV/f.u.


Least stable structure: run Q


Run P
Be2BPt2: optimized geometry, PBE.

Unit cell a=2.959 b=2.959 c=12.564 alpha=90.00 beta=90.00 gamma=90.00
Space group I4/mmm (No. 139)
Unique sites:
Be: 0.000 0.500 0.250
B: 0.000 0.000 0.000
Pt: 0.000 0.000 0.396

Calculated values
As for the density of states at the Fermi level: 1.9 states/eV/f.u.


Run Q
Be2BPt2: optimized geometry, PBE.

Unit cell a=5.772 b=5.772 c=3.555 alpha=90.00 beta=90.00 gamma=90.00
Space group P4/mbm (No. 127)
Unique sites:
Be: 0.138 0.362 0.000
B: 0.000 0.000 0.500
Pt: 0.171 0.671 0.500

Calculated values
As for the density of states at the Fermi level: 1.7 states/eV/f.u.


Least stable structure: run P


Run P
BeReB3: optimized geometry, PBE.

Unit cell a=3.524 b=3.524 c=3.524 alpha=90.00 beta=90.00 gamma=90.00
Space group Pm-3m (No. 221)
Unique sites:
Be: 0.000 0.000 0.000
Re: 0.500 0.500 0.500
B: 0.000 0.000 0.500

Calculated values
As for the density of states at the Fermi level: 3.0 states/eV/f.u.


Run Q
BeReB3: optimized geometry, PBE.

Unit cell a=4.088 b=4.088 c=4.088 alpha=90.00 beta=90.00 gamma=90.00
Space group Pm-3m (No. 221)
Unique sites:
Be: 0.000 0.000 0.000
Re: 0.500 0.500 0.500
B: 0.000 0.500 0.500

Calculated values
As for the density of states at the Fermi level: 2.0 states/eV/f.u.


Least stable structure: run P


Run P
Be3ReB: optimized geometry, PBE.

Unit cell a=4.162 b=4.414 c=5.144 alpha=90.00 beta=111.37 gamma=90.00
Space group P2_1/m (No. 11)
Unique sites:
Be: 0.179 0.250 0.115
Be: 0.275 0.507 0.799
Re: 0.288 0.750 0.355
B: 0.127 0.250 0.455

Calculated values
As for the density of states at the Fermi level: 2.1 states/eV/f.u.


Run Q
Be3ReB: optimized geometry, PBE.

Unit cell a=3.613 b=3.613 c=3.613 alpha=90.00 beta=90.00 gamma=90.00
Space group Pm-3m (No. 221)
Unique sites:
Be: 0.000 0.000 0.500
Re: 0.500 0.500 0.500
B: 0.000 0.000 0.000

Calculated values
As for the density of states at the Fermi level: 4.0 states/eV/f.u.


Run R
Be3ReB: optimized geometry, PBE.

Unit cell a=4.240 b=4.240 c=4.240 alpha=90.00 beta=90.00 gamma=90.00
Space group Pm-3m (No. 221)
Unique sites:
Be: 0.000 0.000 0.500
Re: 0.000 0.000 0.000
B: 0.500 0.500 0.500

Calculated values
As for the density of states at the Fermi level: 3.3 states/eV/f.u.


Least stable structure: run R


Run P
BeBRu: optimized geometry, PBE.

Unit cell a=7.656 b=2.929 c=5.332 alpha=90.00 beta=111.54 gamma=90.00
Space group Cm (No. 8)
Unique sites:
Be: 0.000 0.000 0.000
Be: 0.120 0.000 0.417
B: 0.246 0.000 0.847
B: 0.268 0.500 0.647
Ru: 0.264 0.500 0.178
Ru: 0.486 0.000 0.656

Calculated values
As for the density of states at the Fermi level: 1.2 states/eV/f.u.


Run Q
BeBRu: optimized geometry, PBE.

Unit cell a=7.650 b=3.221 c=4.744 alpha=90.00 beta=104.96 gamma=90.00
Space group C2/m (No. 12)
Unique sites:
Be: 0.211 0.000 0.360
B: 0.098 0.500 0.159
Ru: 0.105 0.000 0.812

Calculated values
As for the density of states at the Fermi level: 1.2 states/eV/f.u.


Least stable structure: run Q


Run P
BeBRu: optimized geometry, PBE.

Unit cell a=9.746 b=2.969 c=3.868 alpha=90.00 beta=99.98 gamma=90.00
Space group C2/m (No. 12)
Unique sites:
Be: 0.071 0.000 0.294
B: 0.234 0.500 0.356
Ru: 0.124 0.500 0.811

Calculated values
As for the density of states at the Fermi level: 0.8 states/eV/f.u.


Run Q
BeBRu: optimized geometry, PBE.

Unit cell a=7.681 b=3.068 c=5.493 alpha=90.00 beta=122.88 gamma=90.00
Space group C2/m (No. 12)
Unique sites:
Be: 0.182 0.000 0.081
B: 0.137 0.000 0.663
Ru: 0.059 0.500 0.307

Calculated values
As for the density of states at the Fermi level: 1.0 states/eV/f.u.


Least stable structure: run P


Run P
BeBRu2: optimized geometry, PBE.

Unit cell a=2.734 b=2.734 c=5.557 alpha=90.00 beta=90.00 gamma=90.00
Space group P4/mmm (No. 123)
Unique sites:
Be: 0.000 0.000 0.000
B: 0.000 0.000 0.500
Ru: 0.500 0.500 0.268

Calculated values
As for the density of states at the Fermi level: 2.3 states/eV/f.u.


Run Q
BeBRu2: optimized geometry, PBE.

Unit cell a=5.784 b=5.784 c=5.418 alpha=90.00 beta=90.00 gamma=90.00
Space group I-42d (No. 122)
Unique sites:
Be: 0.000 0.000 0.000
B: 0.000 0.000 0.500
Ru: 0.219 0.250 0.625

Calculated values
As for the density of states at the Fermi level: 4.2 states/eV/f.u.


Least stable structure: run Q


Run P
BeBRu2: optimized geometry, PBE.

Unit cell a=2.8182 b=2.8182 c=21.3585 alpha=90.00 beta=90.00 gamma=120.00
Space group R-3m (No. 166, hexagonal axes)
Unique sites:
Be: 0.0000 0.0000 0.0000
B: 0.0000 0.0000 0.5000
Ru: 0.0000 0.0000 0.1026

Calculated values
As for the density of states at the Fermi level: 3.2 states/eV/f.u.


Run Q
BeBRu2: optimized geometry, PBE.

Unit cell a=5.476 b=5.476 c=5.476 alpha=90.00 beta=90.00 gamma=90.00
Space group Fm-3m (No. 225)
Unique sites:
Be: 0.000 0.000 0.000
B: 0.000 0.000 0.500
Ru: 0.250 0.250 0.250

Calculated values
As for the density of states at the Fermi level: 3.6 states/eV/f.u.


Least stable structure: run P


Run P
Be3BS: optimized geometry, PBE.

Unit cell a=3.925 b=3.925 c=3.925 alpha=90.00 beta=90.00 gamma=90.00
Space group Pm-3m (No. 221)
Unique sites:
Be: 0.000 0.000 0.500
B: 0.500 0.500 0.500
S: 0.000 0.000 0.000

Calculated values
As for the density of states at the Fermi level: 3.1 states/eV/f.u.


Run Q
Be3BS: optimized geometry, PBE.

Unit cell a=3.755 b=3.755 c=3.755 alpha=90.00 beta=90.00 gamma=90.00
Space group Pm-3m (No. 221)
Unique sites:
Be: 0.000 0.000 0.500
B: 0.000 0.000 0.000
S: 0.500 0.500 0.500

Calculated values
As for the density of states at the Fermi level: 3.1 states/eV/f.u.


Least stable structure: run P


Run P
BeBS: optimized geometry, PBE.

Unit cell a=3.198 b=3.695 c=7.774 alpha=89.05 beta=87.70 gamma=76.52
Space group P-1 (No. 2)
Unique sites:
Be: 0.114 0.117 0.335
B: 0.253 0.445 0.535
S: 0.302 0.165 0.754


Run Q
BeBS: optimized geometry, PBE.

Unit cell a=11.547 b=3.098 c=4.215 alpha=90.00 beta=104.02 gamma=90.00
Space group C2/m (No. 12)
Unique sites:
Be: 0.151 0.000 0.142
B: 0.073 0.000 0.490
S: 0.156 0.500 0.758


Run R
BeBS: optimized geometry, PBE.

Unit cell a=3.190 b=3.599 c=7.261 alpha=76.70 beta=78.22 gamma=65.10
Space group P1 (No. 1)
Unique sites:
Be: 0.000 0.000 0.000
Be: 0.234 0.114 0.465
B: 0.389 0.565 0.630
B: 0.895 0.657 0.542
S: 0.357 0.390 0.901
S: 0.861 0.023 0.291

Calculated values
As for the density of states at the Fermi level: 0.1 states/eV/f.u.


Least stable structure: run Q